1.
A plane-wave DFT calculation with PBE was carried out for Y2ZnPt after structural relaxation.

Values from the calculation:
Size of the total moment (μB/cell): 0.00
Energy relative to the elements (eV per formula unit): -2.10
SG: No. 216

Cell lengths 4.8428, 4.8428, 4.8428 Å; angles 60.00, 60.00, 60.00 degrees
Element x y z (fractional)
Y: 0.0000 0.0000 0.0000
Zn: 0.5000 0.5000 0.5000
Y: 0.7500 0.7500 0.7500
Pt: 0.2500 0.2500 0.2500



2.
A plane-wave DFT calculation with PBE was carried out for Y2Zn2Pt after structural relaxation.

Values from the calculation:
Size of the total moment (μB/cell): 0.01
Polymorph energy (0 for the lowest one) (meV/atom): 0
Energy relative to the elements (eV per formula unit): -2.52
SG: No. 72

Cell lengths 7.6115, 7.6115, 7.6115 Å; angles 131.03, 69.24, 134.27 degrees
Element x y z (fractional)
Y: 0.6488 0.2175 0.8663
Zn: 0.1122 0.7492 0.8614
Zn: 0.3878 0.2492 0.6371
Pt: 0.7500 0.7500 0.0000
Pt: 0.2500 0.2500 0.0000
Y: 0.3512 0.7825 0.1337
Zn: 0.6122 0.7508 0.3629
Y: 0.1488 0.2825 0.4313
Y: 0.8512 0.7175 0.5687
Zn: 0.8878 0.2508 0.1386



3.
A plane-wave DFT calculation with PBE was carried out for ZnPt after structural relaxation.

Values from the calculation:
Size of the total moment (μB/cell): 0.00
Energy relative to the elements (eV per formula unit): -0.81
SG: No. 11

Cell lengths 7.1167, 5.6411, 4.5332 Å; angles 90.00, 90.00, 101.53 degrees
Element x y z (fractional)
Zn: 0.5511 0.3902 0.5000
Zn: 0.6708 0.1703 0.0000
Pt: 0.8733 0.7219 0.5000
Zn: 0.5514 0.8851 0.5000
Pt: 0.2268 0.5548 0.5000
Pt: 0.9954 0.5008 0.0000
Zn: 0.6711 0.6654 0.0000
Pt: 0.3489 0.3338 0.0000
Pt: 0.8730 0.2158 0.5000
Pt: 0.3492 0.8398 0.0000
Zn: 0.0045 0.0022 0.0000
Zn: 0.2179 0.0532 0.5000



What is the size of the total moment in the second record?
0.01 μB/cell